*A*
The following is a PBE calculation of crystalline ZnPW2 at its relaxed geometry, from Alexandria.

## Properties
Its space-group type is No. 8. The total magnetic moment is 0.00 μB per formula unit.

Lattice parameters (Å, degrees): 4.8229 4.8229 4.4590 105.15 105.15 35.71
Last column: nearest neighbours and their distance in Å.
Positions (direct):
Zn (0.0000, 0.0000, 0.0000)  7 W 2.59-2.70, 2 P 2.76
P (0.2556, 0.2556, 0.6641)  7 W 2.50-2.75, 2 Zn 2.76
W (0.5276, 0.5276, 0.5198)  3 P 2.50-2.75, 4 Zn 2.67-2.70
W (0.7504, 0.7504, 0.1655)  3 Zn 2.59-2.66, 4 P 2.66-2.69

=====

*B*
The following is a PBE calculation of crystalline ZnPW2 at its relaxed geometry, from Alexandria.

## Properties
Its space-group type is No. 123. The total magnetic moment is 0.00 μB per formula unit.

Lattice parameters (Å, degrees): 2.9499 2.9499 6.7803 90.00 90.00 90.00
Last column: nearest neighbours and their distance in Å.
Positions (direct):
Zn (0.0000, 0.0000, 0.0000)  8 W 2.87, 4 Zn 2.95
P (0.0000, 0.0000, 0.5000)  8 W 2.53
W (0.5000, 0.5000, 0.2897)  4 P 2.53
W (0.5000, 0.5000, 0.7103)  4 P 2.53

=====

*C*
The following is a PBE calculation of crystalline ZnPW2 at its relaxed geometry, from Alexandria.

## Properties
Its space-group type is No. 44. The total magnetic moment is 0.00 μB per formula unit.

Lattice parameters (Å, degrees): 5.1445 5.1445 5.1445 144.76 131.03 61.76
Last column: nearest neighbours and their distance in Å.
Positions (direct):
Zn (0.0000, 0.0000, 0.0000)  8 W 2.66-2.95, 2 P 2.70
P (0.7498, 0.2498, 0.5000)  6 W 2.43-2.65, 2 Zn 2.70
W (0.2696, 0.7696, 0.5000)  4 P 2.65, 4 Zn 2.84-2.95, 4 W 2.85-2.95
W (0.5393, 0.5393, 0.0000)  2 P 2.43, 4 Zn 2.66

=====

Most stable structure: *B*

=====

*A*
The following is a PBE calculation of crystalline ZnPW2 at its relaxed geometry, from Alexandria.

## Properties
Its space-group type is No. 38. The total magnetic moment is 0.00 μB per formula unit.

Lattice parameters (Å, degrees): 4.4606 4.9428 4.9428 34.35 90.00 90.00
Last column: nearest neighbours and their distance in Å.
Positions (direct):
Zn (0.0000, 0.0000, 0.0000)  3 W 2.51-2.65
P (0.5000, 0.6399, 0.6399)  5 W 2.40-2.64
W (0.0000, 0.7341, 0.7341)  2 P 2.40, 3 Zn 2.51-2.65
W (0.5000, 0.3603, 0.3603)  3 P 2.54-2.64

=====

*B*
The following is a PBE calculation of crystalline ZnPW2 at its relaxed geometry, from Alexandria.

## Properties
Its space-group type is No. 10. The total magnetic moment is 0.00 μB per formula unit.

Lattice parameters (Å, degrees): 4.6040 3.0632 4.6155 90.00 112.00 90.00
Last column: nearest neighbours and their distance in Å.
Positions (direct):
Zn (0.0000, 0.0000, 0.0000)  6 W 2.58-2.77, 4 P 2.76
P (0.5000, 0.5000, 0.0000)  6 W 2.58-2.77, 4 Zn 2.76
W (0.0000, 0.5000, 0.5000)  2 P 2.58, 4 W 2.76, 4 Zn 2.77
W (0.5000, 0.0000, 0.5000)  2 Zn 2.58, 4 W 2.76, 4 P 2.77

=====

Most stable structure: *A*

=====

*A*
The following is a PBE calculation of crystalline ZnPW2 at its relaxed geometry, from Alexandria.

## Properties
Its space-group type is No. 166. The total magnetic moment is 0.00 μB per formula unit.

Lattice parameters (Å, degrees): 8.3991 8.3991 8.3991 19.92 19.92 19.92
Last column: nearest neighbours and their distance in Å.
Positions (direct):
Zn (0.0000, 0.0000, 0.0000)  6 W 2.80, 6 Zn 2.91
P (0.5000, 0.5000, 0.5000)  6 W 2.52
W (0.2428, 0.2428, 0.2428)  3 P 2.52, 3 Zn 2.80
W (0.7572, 0.7572, 0.7572)  3 P 2.52, 3 Zn 2.80

=====

*B*
The following is a PBE calculation of crystalline ZnPW2 at its relaxed geometry, from Alexandria.

## Properties
Its space-group type is No. 47. The total magnetic moment is 0.00 μB per formula unit.

Lattice parameters (Å, degrees): 3.2054 4.1081 4.5222 90.00 90.00 90.00
Last column: nearest neighbours and their distance in Å.
Positions (direct):
Zn (0.0000, 0.0000, 0.0000)  4 W 2.61, 4 P 2.77
P (0.5000, 0.0000, 0.5000)  4 W 2.61, 4 Zn 2.77
W (0.0000, 0.5000, 0.5000)  4 P 2.61, 4 W 2.77
W (0.5000, 0.5000, 0.0000)  4 Zn 2.61, 4 W 2.77

=====

*C*
The following is a PBE calculation of crystalline ZnPW2 at its relaxed geometry, from Alexandria.

## Properties
Its space-group type is No. 35. The total magnetic moment is 0.00 μB per formula unit.

Lattice parameters (Å, degrees): 2.7749 2.7749 8.8720 90.00 90.00 108.10
Last column: nearest neighbours and their distance in Å.
Positions (direct):
Zn (0.0000, 0.0000, 0.0000)  2 W 2.67, 4 Zn 2.77
P (0.5000, 0.5000, 0.3020)  2 W 2.48
W (0.0000, 0.0000, 0.5123)  2 P 2.48, 2 W 2.74
W (0.5000, 0.5000, 0.7612)  2 Zn 2.67, 6 W 2.74-2.77

=====

*D*
The following is a PBE calculation of crystalline ZnPW2 at its relaxed geometry, from Alexandria.

## Properties
Its space-group type is No. 119. The total magnetic moment is 0.00 μB per formula unit.

Lattice parameters (Å, degrees): 4.8920 4.8920 4.8920 134.58 134.58 66.19
Last column: nearest neighbours and their distance in Å.
Positions (direct):
Zn (0.0000, 0.0000, 0.0000)  8 W 2.67-2.79, 4 P 2.79
P (0.2500, 0.7500, 0.5000)  8 W 2.67-2.79, 4 Zn 2.79
W (0.5000, 0.5000, 0.0000)  4 Zn 2.67, 4 W 2.79, 4 P 2.79
W (0.7500, 0.2500, 0.5000)  4 P 2.67, 4 W 2.79, 4 Zn 2.79

=====

Most stable structure: *A*